[1]
Below is a relaxed structure of Tb2TmSb, with properties calculated at the PBE level.

Computed properties:
E above lowest polymorph ... 242.1 meV/atom
Size of the total moment ... 1.0 μB/f.u.
Formation energy from raw total energies ... -0.280 eV/atom
Symmetry ... R-3m (166)

a b c (Å): 9.880 9.880 9.880
angles (deg): 23.18 23.18 23.18
Sites, in units of the cell vectors:
Tb (0.235, 0.235, 0.235)
Tb (0.765, 0.765, 0.765)
Tm (0.000, 0.000, 0.000)
Sb (0.500, 0.500, 0.500)

=====

[2]
Below is a relaxed structure of TbTm2Sb3, with properties calculated at the PBE level.

Computed properties:
Size of the total moment ... 0.0 μB/f.u.
Formation energy from raw total energies ... -1.093 eV/atom
Symmetry ... Immm (71)

a b c (Å): 7.549 7.549 7.549
angles (deg): 146.44 131.82 59.99
Sites, in units of the cell vectors:
Tb (0.000, 0.000, 0.000)
Tm (0.334, 0.334, 0.000)
Tm (0.666, 0.666, 0.000)
Sb (0.169, 0.669, 0.500)
Sb (0.500, 0.000, 0.500)
Sb (0.831, 0.331, 0.500)

=====

[3]
Below is a relaxed structure of Tb4Tm3Sb4, with properties calculated at the PBE level.

Computed properties:
Size of the total moment ... 0.0 μB/f.u.
Formation energy from raw total energies ... -0.729 eV/atom
Symmetry ... Immm (71)

a b c (Å): 10.000 10.000 10.000
angles (deg): 156.98 125.93 59.53
Sites, in units of the cell vectors:
Tb (0.012, 0.832, 0.180)
Tb (0.348, 0.168, 0.180)
Tb (0.652, 0.832, 0.820)
Tb (0.988, 0.168, 0.820)
Tm (0.000, 0.500, 0.500)
Tm (0.402, 0.402, 0.000)
Tm (0.598, 0.598, 0.000)
Sb (0.269, 0.769, 0.500)
Sb (0.293, 0.000, 0.293)
Sb (0.707, 0.000, 0.707)
Sb (0.731, 0.231, 0.500)

=====

[4]
Below is a relaxed structure of Tb2TmSb, with properties calculated at the PBE level.

Computed properties:
E above lowest polymorph ... 49.0 meV/atom
Size of the total moment ... 0.0 μB/f.u.
Formation energy from raw total energies ... -0.474 eV/atom
Symmetry ... P4/mmm (123)

a b c (Å): 4.765 4.765 4.787
angles (deg): 90.00 90.00 90.00
Sites, in units of the cell vectors:
Tb (0.000, 0.500, 0.000)
Tb (0.500, 0.000, 0.000)
Tm (0.000, 0.000, 0.500)
Sb (0.500, 0.500, 0.500)

=====

[5]
Below is a relaxed structure of Tb5Tm2Sb5, with properties calculated at the PBE level.

Computed properties:
Size of the total moment ... 0.0 μB/f.u.
Formation energy from raw total energies ... -0.847 eV/atom
Symmetry ... C2/m (12)

a b c (Å): 7.457 7.457 12.525
angles (deg): 109.64 109.64 33.94
Sites, in units of the cell vectors:
Tb (0.000, 0.000, 0.000)
Tb (0.161, 0.161, 0.535)
Tb (0.222, 0.222, 0.844)
Tb (0.778, 0.778, 0.156)
Tb (0.839, 0.839, 0.465)
Tm (0.452, 0.452, 0.711)
Tm (0.548, 0.548, 0.289)
Sb (0.194, 0.194, 0.288)
Sb (0.383, 0.383, 0.072)
Sb (0.500, 0.500, 0.500)
Sb (0.617, 0.617, 0.928)
Sb (0.806, 0.806, 0.712)

=====

[6]
Below is a relaxed structure of Tb2Tm3Sb2, with properties calculated at the PBE level.

Computed properties:
Size of the total moment ... 0.0 μB/f.u.
Formation energy from raw total energies ... -0.627 eV/atom
Symmetry ... C2/m (12)

a b c (Å): 6.338 6.338 8.432
angles (deg): 108.04 108.04 39.20
Sites, in units of the cell vectors:
Tb (0.130, 0.130, 0.283)
Tb (0.870, 0.870, 0.717)
Tm (0.374, 0.374, 0.055)
Tm (0.500, 0.500, 0.500)
Tm (0.626, 0.626, 0.945)
Sb (0.172, 0.172, 0.694)
Sb (0.828, 0.828, 0.306)

=====

[7]
Below is a relaxed structure of Tb2TmSb, with properties calculated at the PBE level.

Computed properties:
E above lowest polymorph ... 204.4 meV/atom
Size of the total moment ... 0.8 μB/f.u.
Formation energy from raw total energies ... -0.318 eV/atom
Symmetry ... R3m (160)

a b c (Å): 9.684 9.684 9.684
angles (deg): 23.84 23.84 23.84
Sites, in units of the cell vectors:
Tb (0.000, 0.000, 0.000)
Tb (0.196, 0.196, 0.196)
Tm (0.431, 0.431, 0.431)
Sb (0.597, 0.597, 0.597)

=====

[8]
Below is a relaxed structure of Tb5TmSb6, with properties calculated at the PBE level.

Computed properties:
Size of the total moment ... 0.0 μB/f.u.
Formation energy from raw total energies ... -1.134 eV/atom
Symmetry ... C2/m (12)

a b c (Å): 7.606 7.606 7.605
angles (deg): 99.60 99.60 120.00
Sites, in units of the cell vectors:
Tb (0.000, 0.000, 0.000)
Tb (0.166, 0.834, 0.500)
Tb (0.332, 0.668, 0.000)
Tb (0.668, 0.332, 0.000)
Tb (0.834, 0.166, 0.500)
Tm (0.500, 0.500, 0.500)
Sb (0.087, 0.417, 0.252)
Sb (0.252, 0.252, 0.749)
Sb (0.417, 0.087, 0.252)
Sb (0.583, 0.913, 0.748)
Sb (0.748, 0.748, 0.251)
Sb (0.913, 0.583, 0.748)

=====

[9]
Below is a relaxed structure of Tb2TmSb3, with properties calculated at the PBE level.

Computed properties:
Size of the total moment ... 0.0 μB/f.u.
Formation energy from raw total energies ... -1.120 eV/atom
Symmetry ... Immm (71)

a b c (Å): 7.586 7.586 7.586
angles (deg): 146.43 131.82 60.00
Sites, in units of the cell vectors:
Tb (0.167, 0.167, 0.000)
Tb (0.833, 0.833, 0.000)
Tm (0.500, 0.500, 0.000)
Sb (0.000, 0.500, 0.500)
Sb (0.336, 0.836, 0.500)
Sb (0.664, 0.164, 0.500)

=====

[10]
Below is a relaxed structure of Tb5Tm5Sb6, with properties calculated at the PBE level.

Computed properties:
Size of the total moment ... 0.0 μB/f.u.
Formation energy from raw total energies ... -0.891 eV/atom
Symmetry ... Amm2 (38)

a b c (Å): 6.274 8.961 8.961
angles (deg): 120.23 90.00 90.00
Sites, in units of the cell vectors:
Tb (0.000, 0.000, 0.000)
Tb (0.250, 0.579, 0.911)
Tb (0.250, 0.911, 0.579)
Tb (0.750, 0.579, 0.911)
Tb (0.750, 0.911, 0.579)
Tm (0.000, 0.245, 0.491)
Tm (0.000, 0.491, 0.245)
Tm (0.500, 0.245, 0.998)
Tm (0.500, 0.488, 0.488)
Tm (0.500, 0.998, 0.245)
Sb (0.000, 0.247, 0.857)
Sb (0.000, 0.630, 0.630)
Sb (0.000, 0.857, 0.247)
Sb (0.500, 0.245, 0.632)
Sb (0.500, 0.632, 0.245)
Sb (0.500, 0.858, 0.858)

=====

[11]
Below is a relaxed structure of TbTm5Sb4, with properties calculated at the PBE level.

Computed properties:
Size of the total moment ... 0.0 μB/f.u.
Formation energy from raw total energies ... -0.669 eV/atom
Symmetry ... C2/m (12)

a b c (Å): 9.477 9.477 8.321
angles (deg): 105.87 105.87 26.06
Sites, in units of the cell vectors:
Tb (0.000, 0.000, 0.000)
Tm (0.000, 0.000, 0.500)
Tm (0.319, 0.319, 0.650)
Tm (0.339, 0.339, 0.184)
Tm (0.661, 0.661, 0.816)
Tm (0.681, 0.681, 0.350)
Sb (0.171, 0.171, 0.084)
Sb (0.489, 0.489, 0.737)
Sb (0.511, 0.511, 0.263)
Sb (0.829, 0.829, 0.916)

=====

[12]
Below is a relaxed structure of Tb2TmSb, with properties calculated at the PBE level.

Computed properties:
E above lowest polymorph ... 27.2 meV/atom
Size of the total moment ... 0.0 μB/f.u.
Formation energy from raw total energies ... -0.495 eV/atom
Symmetry ... P4/mmm (123)

a b c (Å): 4.143 4.143 6.651
angles (deg): 90.00 90.00 90.00
Sites, in units of the cell vectors:
Tb (0.000, 0.000, 0.236)
Tb (0.000, 0.000, 0.764)
Tm (0.500, 0.500, 0.500)
Sb (0.500, 0.500, 0.000)

=====

[13]
Below is a relaxed structure of Tb2Tm5Sb4, with properties calculated at the PBE level.

Computed properties:
Size of the total moment ... 0.0 μB/f.u.
Formation energy from raw total energies ... -0.414 eV/atom
Symmetry ... C2/m (12)

a b c (Å): 12.971 12.971 7.224
angles (deg): 91.31 91.31 16.03
Sites, in units of the cell vectors:
Tb (0.236, 0.236, 0.279)
Tb (0.764, 0.764, 0.721)
Tm (0.089, 0.089, 0.196)
Tm (0.141, 0.141, 0.658)
Tm (0.500, 0.500, 0.500)
Tm (0.859, 0.859, 0.342)
Tm (0.911, 0.911, 0.804)
Sb (0.033, 0.033, 0.816)
Sb (0.330, 0.330, 0.001)
Sb (0.670, 0.670, 0.999)
Sb (0.967, 0.967, 0.184)

=====

[14]
Below is a relaxed structure of Tb8TmSb6, with properties calculated at the PBE level.

Computed properties:
Size of the total moment ... 2.3 μB/f.u.
Formation energy from raw total energies ... -0.601 eV/atom
Symmetry ... P-3 (147)

a b c (Å): 11.348 11.348 4.361
angles (deg): 90.00 90.00 120.00
Sites, in units of the cell vectors:
Tb (0.041, 0.330, 0.239)
Tb (0.289, 0.959, 0.239)
Tb (0.330, 0.289, 0.761)
Tb (0.333, 0.667, 0.759)
Tb (0.667, 0.333, 0.241)
Tb (0.670, 0.711, 0.239)
Tb (0.711, 0.041, 0.761)
Tb (0.959, 0.670, 0.761)
Tm (0.000, 0.000, 0.500)
Sb (0.129, 0.648, 0.259)
Sb (0.352, 0.481, 0.259)
Sb (0.481, 0.129, 0.741)
Sb (0.519, 0.871, 0.259)
Sb (0.648, 0.519, 0.741)
Sb (0.871, 0.352, 0.741)

=====

[15]
Below is a relaxed structure of Tb3TmSb4, with properties calculated at the PBE level.

Computed properties:
Size of the total moment ... 0.0 μB/f.u.
Formation energy from raw total energies ... -1.131 eV/atom
Symmetry ... Pm-3m (221)

a b c (Å): 6.197 6.197 6.197
angles (deg): 90.00 90.00 90.00
Sites, in units of the cell vectors:
Tb (0.000, 0.000, 0.500)
Tb (0.000, 0.500, 0.000)
Tb (0.500, 0.000, 0.000)
Tm (0.500, 0.500, 0.500)
Sb (0.000, 0.000, 0.000)
Sb (0.000, 0.500, 0.500)
Sb (0.500, 0.000, 0.500)
Sb (0.500, 0.500, 0.000)

=====

[16]
Below is a relaxed structure of TbTm4Sb5, with properties calculated at the PBE level.

Computed properties:
Size of the total moment ... 0.0 μB/f.u.
Formation energy from raw total energies ... -1.083 eV/atom
Symmetry ... Immm (71)

a b c (Å): 11.504 11.504 11.504
angles (deg): 158.21 149.00 38.22
Sites, in units of the cell vectors:
Tb (0.000, 0.000, 0.000)
Tm (0.201, 0.201, 0.000)
Tm (0.400, 0.400, 0.000)
Tm (0.600, 0.600, 0.000)
Tm (0.799, 0.799, 0.000)
Sb (0.102, 0.602, 0.500)
Sb (0.300, 0.800, 0.500)
Sb (0.500, 0.000, 0.500)
Sb (0.700, 0.200, 0.500)
Sb (0.898, 0.398, 0.500)

=====

[17]
Below is a relaxed structure of TbTm5Sb6, with properties calculated at the PBE level.

Computed properties:
Size of the total moment ... 0.0 μB/f.u.
Formation energy from raw total energies ... -1.080 eV/atom
Symmetry ... C2/m (12)

a b c (Å): 7.532 7.532 7.530
angles (deg): 99.60 99.60 119.99
Sites, in units of the cell vectors:
Tb (0.000, 0.000, 0.000)
Tm (0.165, 0.835, 0.500)
Tm (0.333, 0.667, 0.000)
Tm (0.500, 0.500, 0.500)
Tm (0.667, 0.333, 0.000)
Tm (0.835, 0.165, 0.500)
Sb (0.084, 0.420, 0.252)
Sb (0.253, 0.253, 0.749)
Sb (0.420, 0.084, 0.252)
Sb (0.580, 0.916, 0.748)
Sb (0.747, 0.747, 0.251)
Sb (0.916, 0.580, 0.748)

=====

[18]
Below is a relaxed structure of Tb4TmSb2, with properties calculated at the PBE level.

Computed properties:
Size of the total moment ... 0.0 μB/f.u.
Formation energy from raw total energies ... -0.427 eV/atom
Symmetry ... R-3m (166)

a b c (Å): 9.370 9.370 9.370
angles (deg): 33.53 33.53 33.53
Sites, in units of the cell vectors:
Tb (0.130, 0.130, 0.130)
Tb (0.272, 0.272, 0.272)
Tb (0.728, 0.728, 0.728)
Tb (0.870, 0.870, 0.870)
Tm (0.500, 0.500, 0.500)
Sb (0.387, 0.387, 0.387)
Sb (0.613, 0.613, 0.613)

=====

[19]
Below is a relaxed structure of Tb2TmSb, with properties calculated at the PBE level.

Computed properties:
E above lowest polymorph ... 0.0 meV/atom
Size of the total moment ... 0.0 μB/f.u.
Formation energy from raw total energies ... -0.523 eV/atom
Symmetry ... P2_1/m (11)

a b c (Å): 4.571 4.530 11.400
angles (deg): 90.00 101.55 90.00
Sites, in units of the cell vectors:
Tb (0.062, 0.250, 0.124)
Tb (0.435, 0.250, 0.870)
Tb (0.565, 0.750, 0.130)
Tb (0.938, 0.750, 0.876)
Tm (0.307, 0.750, 0.615)
Tm (0.693, 0.250, 0.385)
Sb (0.171, 0.750, 0.342)
Sb (0.829, 0.250, 0.658)

=====

[20]
Below is a relaxed structure of Tb2TmUSb4, with properties calculated at the PBE level.

Computed properties:
Size of the total moment ... 2.6 μB/f.u.
Formation energy from raw total energies ... -0.877 eV/atom
Symmetry ... P2/m (10)

a b c (Å): 7.579 4.359 7.605
angles (deg): 90.00 109.08 90.00
Sites, in units of the cell vectors:
Tb (0.000, 0.000, 0.000)
Tb (0.000, 0.500, 0.500)
Tm (0.500, 0.000, 0.500)
U (0.500, 0.500, 0.000)
Sb (0.251, 0.000, 0.748)
Sb (0.255, 0.500, 0.252)
Sb (0.745, 0.500, 0.748)
Sb (0.749, 0.000, 0.252)

=====

[21]
Below is a relaxed structure of TbY3Tm2Sb6, with properties calculated at the PBE level.

Computed properties:
Size of the total moment ... 0.0 μB/f.u.
Formation energy from raw total energies ... -1.129 eV/atom
Symmetry ... C2/m (12)

a b c (Å): 7.580 7.580 7.575
angles (deg): 99.59 99.59 120.01
Sites, in units of the cell vectors:
Tb (0.000, 0.000, 0.000)
Y (0.166, 0.834, 0.500)
Y (0.500, 0.500, 0.500)
Y (0.834, 0.166, 0.500)
Tm (0.333, 0.667, 0.000)
Tm (0.667, 0.333, 0.000)
Sb (0.083, 0.419, 0.248)
Sb (0.254, 0.254, 0.753)
Sb (0.419, 0.083, 0.248)
Sb (0.581, 0.917, 0.752)
Sb (0.746, 0.746, 0.247)
Sb (0.917, 0.581, 0.752)

=====

[22]
Below is a relaxed structure of TbY2Tm3Sb6, with properties calculated at the PBE level.

Computed properties:
Size of the total moment ... 0.0 μB/f.u.
Formation energy from raw total energies ... -1.114 eV/atom
Symmetry ... C2/m (12)

a b c (Å): 9.761 9.761 8.732
angles (deg): 102.85 102.85 25.84
Sites, in units of the cell vectors:
Tb (0.000, 0.000, 0.000)
Y (0.333, 0.333, 0.667)
Y (0.667, 0.667, 0.333)
Tm (0.000, 0.000, 0.500)
Tm (0.333, 0.333, 0.167)
Tm (0.667, 0.667, 0.833)
Sb (0.166, 0.166, 0.585)
Sb (0.168, 0.168, 0.081)
Sb (0.499, 0.499, 0.253)
Sb (0.501, 0.501, 0.747)
Sb (0.832, 0.832, 0.919)
Sb (0.834, 0.834, 0.415)

=====

[23]
Below is a relaxed structure of Tb3YTm2Sb6, with properties calculated at the PBE level.

Computed properties:
Size of the total moment ... 0.0 μB/f.u.
Formation energy from raw total energies ... -1.124 eV/atom
Symmetry ... C2/m (12)

a b c (Å): 9.790 9.790 8.758
angles (deg): 102.85 102.85 25.85
Sites, in units of the cell vectors:
Tb (0.000, 0.000, 0.000)
Tb (0.334, 0.334, 0.667)
Tb (0.666, 0.666, 0.333)
Y (0.000, 0.000, 0.500)
Tm (0.333, 0.333, 0.167)
Tm (0.667, 0.667, 0.833)
Sb (0.167, 0.167, 0.586)
Sb (0.168, 0.168, 0.081)
Sb (0.499, 0.499, 0.250)
Sb (0.501, 0.501, 0.750)
Sb (0.832, 0.832, 0.919)
Sb (0.833, 0.833, 0.414)